# CoCuRu

A relaxed CoCuRu crystal (PBEsol, the Alexandria database).

It has space group P-6m2 (No. 187), with a = 4.0320 Å, b = 4.0320 Å, c = 2.4816 Å, α = 90.00°, β = 90.00° and γ = 120.00°. The inequivalent atoms are Co at (0.0000, 0.0000, 0.0000), Cu at (0.3333, 0.6667, 0.0000) and Ru at (0.6667, 0.3333, 0.5000).

The calculation puts the total magnetization at 0.275 μB per atom. Its energy above the most stable polymorph in this dataset is 0.0 kJ/mol of formula units. As for the mass density: 10.62 g/cm3. As for the formation energy: 0.32 eV/atom.